An optimized crystal structure of K3Pm3HfTe8. Source: the Alexandria database, functional PBE-GGA.

a b c (Å): 8.9391 8.9391 25.3571
angles (deg): 90.00 90.00 120.00
Closest atoms and distances in Å follow each position.
Space group R-3m (No. 166, hexagonal axes)
One atom of each set of equivalent atoms:
K (0.0000, 0.5000, 0.0000)  6 Te 3.53-3.55
Pm (0.0000, 0.5000, 0.5000)  6 Te 3.15-3.17
Hf (0.0000, 0.0000, 0.5000)  6 Te 2.95
Te (0.0000, 0.0000, 0.2382)  3 Pm 3.15
Te (0.0220, 0.5110, 0.2339)  1 Hf 2.95, 2 Pm 3.17

***

An optimized crystal structure of K3Pm2HfTe6. Source: the Alexandria database, functional PBE-GGA.

a b c (Å): 7.6932 13.3304 8.6851
angles (deg): 90.00 107.28 90.00
Closest atoms and distances in Å follow each position.
Space group C2/m (No. 12)
One atom of each set of equivalent atoms:
K (0.0000, 0.0000, 0.0000)  6 Te 3.47-3.64
K (0.0000, 0.3270, 0.0000)  6 Te 3.47-3.59
Pm (0.0000, 0.1659, 0.5000)  6 Te 3.17
Hf (0.0000, 0.5000, 0.5000)  6 Te 2.96-2.97
Te (0.2258, 0.3437, 0.7089)  1 Hf 2.96, 2 Pm 3.17
Te (0.2411, 0.5000, 0.2895)  1 Hf 2.97, 2 Pm 3.17

***

An optimized crystal structure of K2PmHfTe4. Source: the Alexandria database, functional PBE-GGA.

a b c (Å): 7.6128 4.3455 8.6847
angles (deg): 90.00 106.58 90.00
Closest atoms and distances in Å follow each position.
Space group P2/m (No. 10)
One atom of each set of equivalent atoms:
K (0.0000, 0.0000, 0.0000)  6 Te 3.59
K (0.5000, 0.5000, 0.0000)  6 Te 3.43-3.44
Pm (0.0000, 0.5000, 0.5000)  6 Te 3.14-3.15
Hf (0.5000, 0.0000, 0.5000)  6 Te 2.96-2.98
Te (0.2564, 0.0000, 0.7117)  1 Hf 2.96, 2 Pm 3.14
Te (0.2842, 0.5000, 0.2976)  2 Hf 2.98, 1 Pm 3.15

***

An optimized crystal structure of K2Pm2HfTe6. Source: the Alexandria database, functional PBE-GGA.

a b c (Å): 7.6783 13.1753 8.8374
angles (deg): 90.00 107.66 90.00
Closest atoms and distances in Å follow each position.
Space group C2/m (No. 12)
One atom of each set of equivalent atoms:
K (0.0000, 0.1731, 0.0000)  6 Te 3.53-3.60
Pm (0.0000, 0.3323, 0.5000)  6 Te 3.16
Hf (0.0000, 0.0000, 0.5000)  6 Te 2.94
Te (0.2294, 0.1543, 0.7067)  1 Hf 2.94, 2 Pm 3.16
Te (0.2388, 0.0000, 0.2959)  1 Hf 2.94, 2 Pm 3.16

***

An optimized crystal structure of K4Pr3HfS8. Source: the Alexandria database, functional PBE-GGA.

a b c (Å): 8.2001 8.2001 22.2384
angles (deg): 90.00 90.00 120.00
Closest atoms and distances in Å follow each position.
Space group R-3m (No. 166, hexagonal axes)
One atom of each set of equivalent atoms:
K (0.0000, 0.0000, 0.0000)  6 S 3.39
K (0.0000, 0.5000, 0.0000)  6 S 3.16-3.17
Pr (0.0000, 0.5000, 0.5000)  6 S 2.86-2.89
Hf (0.0000, 0.0000, 0.5000)  6 S 2.63
S (0.0000, 0.0000, 0.2392)  3 Pr 2.86, 3 K 3.16
S (0.0280, 0.5140, 0.2339)  1 Hf 2.63, 2 Pr 2.89

***

An optimized crystal structure of K2PrHfS4. Source: the Alexandria database, functional PBE-GGA.

a b c (Å): 6.9355 3.9463 7.7452
angles (deg): 90.00 106.80 90.00
Closest atoms and distances in Å follow each position.
Space group P2/m (No. 10)
One atom of each set of equivalent atoms:
K (0.0000, 0.0000, 0.0000)  6 S 3.28-3.29
K (0.5000, 0.5000, 0.0000)  6 S 3.09
Pr (0.0000, 0.5000, 0.5000)  6 S 2.85-2.86
Hf (0.5000, 0.0000, 0.5000)  6 S 2.61-2.65
S (0.2634, 0.0000, 0.7081)  1 Hf 2.61, 2 Pr 2.85
S (0.2912, 0.5000, 0.3030)  2 Hf 2.65, 1 Pr 2.86

***

Going through the records in order, we get formation energy (no corrections) values of -19.16, -14.59, -8.96, -13.52, -27.50, -12.88 eV per formula unit.